(1)
Material: SrPrY
Method: DFT, PBE
State: relaxed

abc: 6.2675 6.2675 12.4853
angles: 64.41 64.41 33.40
Positions (direct):
Y 0.4823 0.4823 0.7364
Y 0.2709 0.2709 0.5709
Sr 0.9584 0.9584 0.2536
Sr 0.7948 0.7948 0.0538
Pr 0.1435 0.1435 0.8752
Pr 0.6097 0.6097 0.4321

Results
E above lowest polymorph   143 meV/atom
Formation energy   242 meV per atom
Magnetization   0.00 μB per formula unit
Total DFT energy (no corrections)   -24.40 eV for the cell shown

(2)
Material: SrPr6Y12
Method: DFT, PBE
State: relaxed

abc: 8.9323 9.6448 9.6448
angles: 69.08 72.02 107.98
Positions (direct):
Pr 0.3642 0.7896 0.6869
Pr 0.4254 0.4766 0.2104
Pr 0.5746 0.5234 0.7896
Pr 0.6358 0.2104 0.3131
Pr 0.0512 0.6869 0.5234
Pr 0.9488 0.3131 0.4766
Y 0.4827 0.1602 0.7327
Y 0.8383 0.9459 0.4291
Y 0.6775 0.8929 0.8398
Y 0.2154 0.7327 0.1071
Y 0.3225 0.1071 0.1602
Y 0.8924 0.6250 0.9459
Y 0.7846 0.2673 0.8929
Y 0.2673 0.4291 0.6250
Y 0.7327 0.5709 0.3750
Y 0.1076 0.3750 0.0541
Y 0.1617 0.0541 0.5709
Y 0.5173 0.8398 0.2673
Sr 0.0000 0.0000 0.0000

Results
Formation energy   48 meV per atom
Magnetization   0.00 μB per formula unit
Total DFT energy (no corrections)   -107.01 eV for the cell shown

(3)
Material: SrPrY2
Method: DFT, PBE
State: relaxed

abc: 3.7267 3.7267 12.5246
angles: 81.44 81.44 60.00
Positions (direct):
Y 0.2557 0.2557 0.2330
Y 0.7443 0.7443 0.7670
Sr 0.5000 0.5000 0.5000
Pr 0.0000 0.0000 0.0000

Results
E above lowest polymorph   14 meV/atom
Formation energy   122 meV per atom
Magnetization   0.00 μB per formula unit
Total DFT energy (no corrections)   -18.90 eV for the cell shown

(4)
Material: SrPrY
Method: DFT, PBE
State: relaxed

abc: 3.7994 3.7994 8.5925
angles: 102.77 102.77 90.00
Positions (direct):
Y 0.3214 0.3214 0.6428
Sr 0.9988 0.9988 0.9976
Pr 0.6798 0.6798 0.3596

Results
E above lowest polymorph   0 meV/atom
Formation energy   100 meV per atom
Magnetization   0.00 μB per formula unit
Total DFT energy (no corrections)   -12.63 eV for the cell shown

(5)
Material: SrPr4Y
Method: DFT, PBE
State: relaxed

abc: 6.9302 6.9302 6.9302
angles: 60.00 60.00 60.00
Positions (direct):
Sr 0.2500 0.2500 0.2500
Pr 0.6281 0.6281 0.6281
Pr 0.6281 0.1156 0.6281
Pr 0.6281 0.6281 0.1156
Pr 0.1156 0.6281 0.6281
Y 0.0000 0.0000 0.0000

Results
Formation energy   218 meV per atom
Magnetization   0.00 μB per formula unit
Total DFT energy (no corrections)   -25.96 eV for the cell shown

(6)
Material: SrPr14Y
Method: DFT, PBE
State: relaxed

abc: 7.4771 7.4771 10.4930
angles: 90.00 90.00 89.99
Positions (direct):
Pr 0.1308 0.6192 0.2465
Pr 0.6191 0.6191 0.7535
Pr 0.6191 0.6191 0.2465
Pr 0.3750 0.8750 0.0000
Pr 0.1308 0.6192 0.7535
Pr 0.6192 0.1308 0.2465
Pr 0.1309 0.1309 0.7534
Pr 0.1309 0.1309 0.2466
Pr 0.8750 0.8750 0.0000
Pr 0.8750 0.3750 0.5000
Pr 0.6192 0.1308 0.7535
Pr 0.3750 0.3750 0.0000
Pr 0.3750 0.8750 0.5000
Pr 0.8750 0.3750 0.0000
Sr 0.8750 0.8750 0.5000
Y 0.3750 0.3750 0.5000

Results
Formation energy   39 meV per atom
Magnetization   0.00 μB per formula unit
Total DFT energy (no corrections)   -74.44 eV for the cell shown

(7)
Material: SrPrY2
Method: DFT, PBE
State: relaxed

abc: 3.7508 3.7508 10.6817
angles: 90.00 90.00 90.00
Positions (direct):
Sr 0.5000 0.5000 0.5000
Pr 0.5000 0.5000 0.0000
Y 0.0000 0.0000 0.7757
Y 0.0000 0.0000 0.2243

Results
E above lowest polymorph   11 meV/atom
Formation energy   120 meV per atom
Magnetization   0.02 μB per formula unit
Total DFT energy (no corrections)   -18.91 eV for the cell shown

(8)
Material: SrPr6Y2
Method: DFT, PBE
State: relaxed

abc: 3.7342 3.7342 27.8747
angles: 90.00 90.00 120.00
Positions (direct):
Pr 0.6667 0.3333 0.2266
Pr 0.6667 0.3333 0.5652
Pr 0.6667 0.3333 0.7734
Pr 0.3333 0.6667 0.8789
Pr 0.6667 0.3333 0.4348
Pr 0.3333 0.6667 0.1211
Y 0.3333 0.6667 0.6666
Y 0.3333 0.6667 0.3334
Sr 0.6667 0.3333 0.0000

Results
Formation energy   83 meV per atom
Magnetization   0.03 μB per formula unit
Total DFT energy (no corrections)   -42.54 eV for the cell shown